First-principles (PBE) data for Rb2CeCuSe4 after structural relaxation, as listed in Alexandria.

Summary:
- density of states at the Fermi level (states/eV/cell) = 5.35
- E (eV/atom) = -4.195
- formation energy from raw total energies (kJ/mol of formula units) = -738.5
- magnetization (Bohr magnetons per cell) = 0.01

POSCAR file:
```
Rb2CeCuSe4
1.0
-3.922 3.922 4.362
3.922 -3.922 4.362
3.922 3.922 -4.362
Rb Ce Cu Se
2 1 1 4
Direct
0.000 0.000 0.000 Rb
0.750 0.250 0.500 Rb
0.500 0.500 0.000 Ce
0.250 0.750 0.500 Cu
0.180 0.085 0.580 Se
0.400 0.820 0.905 Se
0.506 0.600 0.420 Se
0.915 0.494 0.095 Se
```

=====

First-principles (PBE) data for RbCe2CuSe5 after structural relaxation, as listed in Alexandria.

Summary:
- density of states at the Fermi level (states/eV/cell) = 7.35
- E (eV/atom) = -5.154
- formation energy from raw total energies (kJ/mol of formula units) = -1161.0
- magnetization (Bohr magnetons per cell) = 0.58

POSCAR file:
```
RbCe2CuSe5
1.0
-4.053 4.053 7.215
4.053 -4.053 7.215
4.053 4.053 -7.215
Rb Ce Cu Se
2 4 2 10
Direct
0.250 0.250 0.000 Rb
0.750 0.750 0.000 Rb
0.163 0.663 0.826 Ce
0.337 0.163 0.500 Ce
0.663 0.837 0.500 Ce
0.837 0.337 0.174 Ce
0.250 0.750 0.500 Cu
0.750 0.250 0.500 Cu
0.000 0.000 0.000 Se
0.017 0.230 0.500 Se
0.230 0.730 0.213 Se
0.270 0.483 0.500 Se
0.483 0.983 0.213 Se
0.500 0.500 0.000 Se
0.517 0.017 0.787 Se
0.730 0.517 0.500 Se
0.770 0.270 0.787 Se
0.983 0.770 0.500 Se
```

=====

First-principles (PBE) data for Ce8CuRe2 after structural relaxation, as listed in Alexandria.

Summary:
- E_form (eV/f.u.) = 1.0
- density of states at the Fermi level (states/eV/cell) = 23.35
- E (eV/atom) = -6.862
- magnetization (Bohr magnetons per cell) = 0.00

POSCAR file:
```
Ce8CuRe2
1.0
-2.640 3.427 7.019
2.640 -3.427 7.019
2.640 3.427 -7.019
Ce Cu Re
8 1 2
Direct
0.132 0.346 0.786 Ce
0.143 0.143 0.000 Ce
0.284 0.000 0.284 Ce
0.440 0.654 0.786 Ce
0.560 0.346 0.214 Ce
0.716 0.000 0.716 Ce
0.857 0.857 0.000 Ce
0.868 0.654 0.214 Ce
0.000 0.500 0.500 Cu
0.304 0.804 0.500 Re
0.696 0.196 0.500 Re
```

=====

First-principles (PBE) data for CeThCuRe after structural relaxation, as listed in Alexandria.

Summary:
- E_form (eV/f.u.) = 0.2
- density of states at the Fermi level (states/eV/cell) = 6.85
- E (eV/atom) = -7.428
- magnetization (Bohr magnetons per cell) = 0.00

POSCAR file:
```
CeThCuRe
1.0
0.000 3.537 3.537
3.537 0.000 3.537
3.537 3.537 0.000
Ce Th Cu Re
1 1 1 1
Direct
0.000 0.000 0.000 Ce
0.500 0.500 0.500 Th
0.750 0.750 0.750 Cu
0.250 0.250 0.250 Re
```

=====

First-principles (PBE) data for CeTmCuRe after structural relaxation, as listed in Alexandria.

Summary:
- E_form (eV/f.u.) = -0.1
- density of states at the Fermi level (states/eV/cell) = 4.19
- E (eV/atom) = -6.750
- magnetization (Bohr magnetons per cell) = 0.00

POSCAR file:
```
CeTmCuRe
1.0
0.000 3.442 3.442
3.442 0.000 3.442
3.442 3.442 0.000
Ce Tm Cu Re
1 1 1 1
Direct
0.000 0.000 0.000 Ce
0.500 0.500 0.500 Tm
0.250 0.250 0.250 Cu
0.750 0.750 0.750 Re
```

=====

First-principles (PBE) data for CeCuRh after structural relaxation, as listed in Alexandria.

Summary:
- E_form (eV/f.u.) = -0.6
- density of states at the Fermi level (states/eV/cell) = 17.33
- E (eV/atom) = -5.989
- energy relative to the lowest polymorph listed for this composition (eV/atom) = 0.194
- magnetization (Bohr magnetons per cell) = 1.78

POSCAR file:
```
CeCuRh
1.0
0.000 5.128 5.717
4.125 0.000 5.717
4.125 5.128 0.000
Ce Cu Rh
4 4 4
Direct
0.000 0.000 0.000 Ce
0.000 0.000 0.500 Ce
0.000 0.500 0.000 Ce
0.500 0.000 0.000 Ce
0.256 0.494 0.256 Cu
0.494 0.256 0.494 Cu
0.506 0.744 0.506 Cu
0.744 0.506 0.744 Cu
0.176 0.176 0.574 Rh
0.426 0.426 0.824 Rh
0.574 0.574 0.176 Rh
0.824 0.824 0.426 Rh
```

=====

First-principles (PBE) data for CeCuRh2 after structural relaxation, as listed in Alexandria.

Summary:
- E_form (eV/f.u.) = -2.3
- density of states at the Fermi level (states/eV/cell) = 3.65
- E (eV/atom) = -6.770
- energy relative to the lowest polymorph listed for this composition (eV/atom) = 0.000
- magnetization (Bohr magnetons per cell) = 0.00

POSCAR file:
```
CeCuRh2
1.0
4.183 0.000 0.000
0.000 4.183 0.000
0.000 0.000 3.779
Ce Cu Rh
1 1 2
Direct
0.000 0.000 0.000 Ce
0.500 0.500 0.000 Cu
0.000 0.500 0.500 Rh
0.500 0.000 0.500 Rh
```

=====

First-principles (PBE) data for Ce2CuRh4 after structural relaxation, as listed in Alexandria.

Summary:
- E_form (eV/f.u.) = -2.9
- density of states at the Fermi level (states/eV/cell) = 10.06
- E (eV/atom) = -6.894
- magnetization (Bohr magnetons per cell) = 0.00

POSCAR file:
```
Ce2CuRh4
1.0
-1.983 1.983 8.733
1.983 -1.983 8.733
1.983 1.983 -8.733
Ce Cu Rh
2 1 4
Direct
0.119 0.119 0.000 Ce
0.881 0.881 0.000 Ce
0.500 0.500 0.000 Cu
0.250 0.750 0.500 Rh
0.359 0.359 0.000 Rh
0.641 0.641 0.000 Rh
0.750 0.250 0.500 Rh
```

=====

First-principles (PBE) data for CeCuRh after structural relaxation, as listed in Alexandria.

Summary:
- E_form (eV/f.u.) = -1.2
- density of states at the Fermi level (states/eV/cell) = 4.73
- E (eV/atom) = -6.183
- energy relative to the lowest polymorph listed for this composition (eV/atom) = 0.000
- magnetization (Bohr magnetons per cell) = 0.41

POSCAR file:
```
CeCuRh
1.0
4.347 0.000 0.000
-2.174 3.765 0.000
0.000 0.000 3.573
Ce Cu Rh
1 1 1
Direct
0.000 0.000 0.000 Ce
0.333 0.667 0.500 Cu
0.667 0.333 0.500 Rh
```

=====

First-principles (PBE) data for Ce3CuRh5 after structural relaxation, as listed in Alexandria.

Summary:
- E_form (eV/f.u.) = -5.5
- density of states at the Fermi level (states/eV/cell) = 8.43
- E (eV/atom) = -7.133
- magnetization (Bohr magnetons per cell) = 0.00

POSCAR file:
```
Ce3CuRh5
1.0
7.210 0.000 0.000
-3.605 6.244 0.000
0.000 0.000 3.733
Ce Cu Rh
3 1 5
Direct
0.000 0.390 0.000 Ce
0.390 0.000 0.000 Ce
0.610 0.610 0.000 Ce
0.000 0.000 0.000 Cu
0.000 0.764 0.500 Rh
0.236 0.236 0.500 Rh
0.333 0.667 0.500 Rh
0.667 0.333 0.500 Rh
0.764 0.000 0.500 Rh
```

=====

First-principles (PBE) data for CeCuRh2 after structural relaxation, as listed in Alexandria.

Summary:
- E_form (eV/f.u.) = -1.8
- density of states at the Fermi level (states/eV/cell) = 2.56
- E (eV/atom) = -6.638
- energy relative to the lowest polymorph listed for this composition (eV/atom) = 0.133
- magnetization (Bohr magnetons per cell) = 0.00

POSCAR file:
```
CeCuRh2
1.0
0.000 3.235 3.235
3.235 0.000 3.235
3.235 3.235 0.000
Ce Cu Rh
1 1 2
Direct
0.000 0.000 0.000 Ce
0.500 0.500 0.500 Cu
0.250 0.250 0.250 Rh
0.750 0.750 0.750 Rh
```

=====

First-principles (PBE) data for CeCuRh2 after structural relaxation, as listed in Alexandria.

Summary:
- E_form (eV/f.u.) = -1.4
- density of states at the Fermi level (states/eV/cell) = 3.39
- E (eV/atom) = -6.541
- energy relative to the lowest polymorph listed for this composition (eV/atom) = 0.230
- magnetization (Bohr magnetons per cell) = 0.00

POSCAR file:
```
CeCuRh2
1.0
3.407 0.000 0.000
0.000 3.407 0.000
0.000 0.000 5.819
Ce Cu Rh
1 1 2
Direct
0.000 0.000 0.000 Ce
0.000 0.000 0.500 Cu
0.500 0.500 0.262 Rh
0.500 0.500 0.738 Rh
```

=====

First-principles (PBE) data for CeCuRh after structural relaxation, as listed in Alexandria.

Summary:
- E_form (eV/f.u.) = -0.8
- density of states at the Fermi level (states/eV/cell) = 4.29
- E (eV/atom) = -6.075
- energy relative to the lowest polymorph listed for this composition (eV/atom) = 0.108
- magnetization (Bohr magnetons per cell) = 0.00

POSCAR file:
```
CeCuRh
1.0
-1.737 1.737 4.617
1.737 -1.737 4.617
1.737 1.737 -4.617
Ce Cu Rh
1 1 1
Direct
0.000 0.000 0.000 Ce
0.692 0.692 0.000 Cu
0.334 0.334 0.000 Rh
```

=====

First-principles (PBE) data for CeCuRuRh after structural relaxation, as listed in Alexandria.

Summary:
- E_form (eV/f.u.) = -0.9
- density of states at the Fermi level (states/eV/cell) = 2.10
- E (eV/atom) = -6.889
- magnetization (Bohr magnetons per cell) = 0.00

POSCAR file:
```
CeCuRuRh
1.0
0.000 3.214 3.214
3.214 0.000 3.214
3.214 3.214 0.000
Ce Cu Ru Rh
1 1 1 1
Direct
0.000 0.000 0.000 Ce
0.500 0.500 0.500 Cu
0.250 0.250 0.250 Ru
0.750 0.750 0.750 Rh
```

=====

First-principles (PBE) data for CeCuRhS3 after structural relaxation, as listed in Alexandria.

Summary:
- density of states at the Fermi level (states/eV/cell) = 5.08
- E (eV/atom) = -5.853
- formation energy from raw total energies (kJ/mol of formula units) = -516.8
- magnetization (Bohr magnetons per cell) = 0.00

POSCAR file:
```
CeCuRhS3
1.0
7.557 0.000 0.000
0.000 3.888 0.000
-1.408 0.000 9.012
Ce Cu Rh S
2 2 2 6
Direct
0.172 0.250 0.249 Ce
0.828 0.750 0.751 Ce
0.207 0.750 0.957 Cu
0.793 0.250 0.043 Cu
0.094 0.250 0.578 Rh
0.906 0.750 0.422 Rh
0.103 0.250 0.850 S
0.216 0.750 0.504 S
0.389 0.750 0.172 S
0.611 0.250 0.828 S
0.784 0.250 0.496 S
0.897 0.750 0.150 S
```

=====

First-principles (PBE) data for CeScCuRh after structural relaxation, as listed in Alexandria.

Summary:
- E_form (eV/f.u.) = -1.8
- density of states at the Fermi level (states/eV/cell) = 5.23
- E (eV/atom) = -6.372
- magnetization (Bohr magnetons per cell) = 0.35

POSCAR file:
```
CeScCuRh
1.0
0.000 3.394 3.394
3.394 0.000 3.394
3.394 3.394 0.000
Ce Sc Cu Rh
1 1 1 1
Direct
0.000 0.000 0.000 Ce
0.500 0.500 0.500 Sc
0.250 0.250 0.250 Cu
0.750 0.750 0.750 Rh
```

=====

First-principles (PBE) data for Ce2CuSi3Rh4 after structural relaxation, as listed in Alexandria.

Summary:
- density of states at the Fermi level (states/eV/cell) = 11.81
- E (eV/atom) = -7.063
- formation energy from raw total energies (kJ/mol of formula units) = -867.7
- magnetization (Bohr magnetons per cell) = 0.93

POSCAR file:
```
Ce2CuSi3Rh4
1.0
4.113 0.000 0.000
0.000 4.113 0.000
0.000 0.000 10.140
Ce Cu Si Rh
2 1 3 4
Direct
0.000 0.500 0.242 Ce
0.500 0.000 0.758 Ce
0.500 0.500 0.000 Cu
0.000 0.000 0.000 Si
0.000 0.500 0.626 Si
0.500 0.000 0.374 Si
0.000 0.000 0.500 Rh
0.000 0.500 0.861 Rh
0.500 0.000 0.139 Rh
0.500 0.500 0.500 Rh
```

=====

First-principles (PBE) data for Ce3CuSi6Rh2 after structural relaxation, as listed in Alexandria.

Summary:
- density of states at the Fermi level (states/eV/cell) = 10.71
- E (eV/atom) = -6.193
- formation energy from raw total energies (kJ/mol of formula units) = -499.9
- magnetization (Bohr magnetons per cell) = 0.00

POSCAR file:
```
Ce3CuSi6Rh2
1.0
5.319 0.000 0.000
-2.660 4.607 0.000
0.000 0.000 9.126
Ce Cu Si Rh
3 1 6 2
Direct
0.000 0.000 0.000 Ce
0.333 0.667 0.578 Ce
0.667 0.333 0.422 Ce
0.000 0.000 0.500 Cu
0.169 0.338 0.279 Si
0.169 0.831 0.279 Si
0.338 0.169 0.721 Si
0.662 0.831 0.279 Si
0.831 0.169 0.721 Si
0.831 0.662 0.721 Si
0.333 0.667 0.073 Rh
0.667 0.333 0.927 Rh
```

=====

First-principles (PBE) data for CeCuSi2Rh after structural relaxation, as listed in Alexandria.

Summary:
- density of states at the Fermi level (states/eV/cell) = 5.43
- E (eV/atom) = -6.417
- formation energy from raw total energies (kJ/mol of formula units) = -372.0
- magnetization (Bohr magnetons per cell) = 0.08

POSCAR file:
```
CeCuSi2Rh
1.0
-2.044 2.044 4.999
2.044 -2.044 4.999
2.044 2.044 -4.999
Ce Cu Si Rh
1 1 2 1
Direct
0.000 0.000 0.000 Ce
0.750 0.250 0.500 Cu
0.380 0.380 0.000 Si
0.620 0.620 0.000 Si
0.250 0.750 0.500 Rh
```

=====

First-principles (PBE) data for Ce2Cu2SnRh5 after structural relaxation, as listed in Alexandria.

Summary:
- E_form (eV/f.u.) = -5.7
- density of states at the Fermi level (states/eV/cell) = 15.15
- E (eV/atom) = -6.656
- magnetization (Bohr magnetons per cell) = 0.00

POSCAR file:
```
Ce2Cu2SnRh5
1.0
9.422 0.000 0.000
0.000 9.422 0.000
0.000 0.000 3.849
Ce Cu Sn Rh
4 4 2 10
Direct
0.173 0.327 0.000 Ce
0.327 0.827 0.000 Ce
0.673 0.173 0.000 Ce
0.827 0.673 0.000 Ce
0.123 0.623 0.000 Cu
0.377 0.123 0.000 Cu
0.623 0.877 0.000 Cu
0.877 0.377 0.000 Cu
0.000 0.000 0.000 Sn
0.500 0.500 0.000 Sn
0.000 0.500 0.500 Rh
0.076 0.793 0.500 Rh
0.207 0.076 0.500 Rh
0.293 0.576 0.500 Rh
0.424 0.293 0.500 Rh
0.500 0.000 0.500 Rh
0.576 0.707 0.500 Rh
0.707 0.424 0.500 Rh
0.793 0.924 0.500 Rh
0.924 0.207 0.500 Rh
```